Computed, not measured: crystalline BeRhO2 at its relaxed geometry at the PBE-GGA level of DFT.

Lattice parameters (Å, degrees): 5.970 5.970 5.970 25.62 25.62 25.62
Fractional coordinates of all 4 atoms:
O1 0.889 0.889 0.889
O2 0.111 0.111 0.111
Rh1 0.000 0.000 0.000
Be1 0.500 0.500 0.500

energy relative to the elements, uncorrected = -1.262 eV/atom
DFT total energy = -0.239 hartree per atom